1.
Entry from Alexandria via LeMat-Bulk: a geometry-optimized Li4CO4 structure (PBE).

Summary:
As for the total DFT energy (no corrections): -5.799 eV/atom. The calculation puts the energy relative to the elements, uncorrected at -15.5 eV per formula unit.

a b c (Å): 6.148 6.878 8.215
angles (deg): 90.00 90.00 90.00
Space group Fmm2 (No. 42)
Symmetry-distinct sites (fractional):
Li  0.000  0.000  0.000
Li  0.000  0.000  0.416
Li  0.250  0.250  0.197
C  0.000  0.000  0.710
O  0.000  0.168  0.809
O  0.190  0.000  0.607

***

2.
Entry from Alexandria via LeMat-Bulk: a geometry-optimized PmAgSn3 structure (PBE).

Summary:
The calculated formation energy is -34 kJ/mol of atoms. As for the total DFT energy (no corrections): -4.276 eV/atom. Its excess energy over the best structure of this formula in the dataset is 0 meV per atom.

a b c (Å): 13.009 6.285 6.268
angles (deg): 90.00 90.00 90.00
Space group Pbcm (No. 57)
Symmetry-distinct sites (fractional):
Pm  0.192  0.006  0.250
Ag  0.390  0.250  0.000
Sn  0.001  0.750  0.000
Sn  0.243  0.509  0.250
Sn  0.427  0.649  0.750

***

3.
Entry from Alexandria via LeMat-Bulk: a geometry-optimized Tb6Te3P2Se structure (PBE).

Summary:
As for the total DFT energy (no corrections): -5.873 eV/atom. The calculation puts the energy relative to the elements, uncorrected at -19.0 eV per formula unit.

a b c (Å): 18.559 4.153 8.552
angles (deg): 90.00 105.42 90.00
Space group C2/m (No. 12)
Symmetry-distinct sites (fractional):
Tb  0.014  0.000  0.242
Tb  0.166  0.500  0.117
Tb  0.177  0.500  0.561
Te  0.000  0.500  0.500
Te  0.163  0.000  0.834
P  0.168  0.000  0.335
Se  0.000  0.500  0.000

***

4.
Entry from Alexandria via LeMat-Bulk: a geometry-optimized Pr2Zn4Cu3Pd structure (PBE).

Summary:
The calculated formation energy is -30 kJ/mol of atoms. As for the total DFT energy (no corrections): -3.524 eV/atom.

a b c (Å): 4.338 4.338 9.874
angles (deg): 90.00 90.00 90.00
Space group P-4m2 (No. 115)
Symmetry-distinct sites (fractional):
Pr  0.000  0.500  0.247
Zn  0.000  0.000  0.500
Zn  0.000  0.500  0.868
Zn  0.500  0.500  0.500
Cu  0.000  0.000  0.000
Cu  0.000  0.500  0.624
Pd  0.500  0.500  0.000

***

5.
Entry from Alexandria via LeMat-Bulk: a geometry-optimized Y2CrCu structure (PBE).

Summary:
The calculated formation energy is 34 kJ/mol of atoms. As for the total DFT energy (no corrections): -6.308 eV/atom.

a b c (Å): 6.990 6.990 6.990
angles (deg): 90.00 90.00 90.00
Space group F-43m (No. 216)
Symmetry-distinct sites (fractional):
Y  0.000  0.000  0.000
Y  0.250  0.250  0.250
Cr  0.000  0.000  0.500
Cu  0.250  0.250  0.750

***

6.
Entry from Alexandria via LeMat-Bulk: a geometry-optimized Zr2Ga5IrRu2 structure (PBE).

Summary:
The calculated formation energy is -35 kJ/mol of atoms. As for the total DFT energy (no corrections): -6.326 eV/atom.

a b c (Å): 9.127 9.127 3.995
angles (deg): 90.00 90.00 90.00
Space group P4/mbm (No. 127)
Symmetry-distinct sites (fractional):
Zr  0.177  0.323  0.000
Ga  0.000  0.500  0.500
Ga  0.061  0.802  0.500
Ir  0.000  0.000  0.000
Ru  0.120  0.620  0.000

***

7.
Entry from Alexandria via LeMat-Bulk: a geometry-optimized Ba2ErSn3Pt4 structure (PBE).

Summary:
The calculated formation energy is -84 kJ/mol of atoms. As for the total DFT energy (no corrections): -5.330 eV/atom.

a b c (Å): 4.760 4.760 11.168
angles (deg): 90.00 90.00 90.00
Space group P-4m2 (No. 115)
Symmetry-distinct sites (fractional):
Ba  0.000  0.500  0.236
Er  0.000  0.000  0.500
Sn  0.000  0.500  0.881
Sn  0.500  0.500  0.500
Pt  0.000  0.000  0.000
Pt  0.000  0.500  0.636
Pt  0.500  0.500  0.000

***

8.
Entry from Alexandria via LeMat-Bulk: a geometry-optimized ZrU2PaN4 structure (PBE).

Summary:
As for the total DFT energy (no corrections): -10.736 eV/atom. The calculation puts the energy relative to the elements, uncorrected at -12.0 eV per formula unit.

a b c (Å): 5.890 3.408 5.932
angles (deg): 90.00 109.09 90.00
Space group P2/m (No. 10)
Symmetry-distinct sites (fractional):
Zr  0.000  0.000  0.000
U  0.500  0.000  0.500
U  0.500  0.500  0.000
Pa  0.000  0.500  0.500
N  0.243  0.500  0.236
N  0.247  0.000  0.763

***

9.
Entry from Alexandria via LeMat-Bulk: a geometry-optimized CsTa3As structure (PBE).

Summary:
The calculated formation energy is 308 kJ/mol of atoms. As for the total DFT energy (no corrections): -5.022 eV/atom. Its excess energy over the best structure of this formula in the dataset is 1651 meV per atom.

a b c (Å): 5.039 5.039 5.039
angles (deg): 90.00 90.00 90.00
Space group Pm-3m (No. 221)
Symmetry-distinct sites (fractional):
Cs  0.000  0.000  0.000
Ta  0.000  0.000  0.500
As  0.500  0.500  0.500